# 1
Be4Ni3Ru | PBE | optimized geometry

abc: 2.6651 2.6651 10.6351
angles: 90.00 90.00 90.00
Last column: nearest neighbours and their distance in Å.
Space group P4/mmm (No. 123)
One atom of each set of equivalent atoms:
Be 0.0000 0.0000 0.1211  8 Ni 2.27-2.28, 1 Be 2.54
Be 0.0000 0.0000 0.3600  4 Ni 2.28, 4 Ru 2.40, 1 Be 2.54
Ni 0.5000 0.5000 0.0000  8 Be 2.28, 2 Ni 2.55
Ni 0.5000 0.5000 0.2399  8 Be 2.27-2.28
Ru 0.5000 0.5000 0.5000  8 Be 2.40, 4 Ru 2.67

# 2
RbMnBiI6 | PBE | optimized geometry

abc: 7.8148 7.8148 8.2274
angles: 90.00 90.00 120.00
Last column: nearest neighbours and their distance in Å.
Space group P312 (No. 149)
One atom of each set of equivalent atoms:
Rb 0.0000 0.0000 0.0000  6 I 3.76
Mn 0.3333 0.6667 0.5000  6 I 2.92
Bi 0.6667 0.3333 0.5000  6 I 3.11
I 0.0189 0.3805 0.7100  1 Mn 2.92, 1 Bi 3.11

Its energy relative to the elements, uncorrected is -677 meV/atom.

# 3
Ba2MgZnCd2 | PBE | optimized geometry

abc: 6.9548 15.9170 7.1610
angles: 90.00 90.00 90.00
Last column: nearest neighbours and their distance in Å.
Space group Ibam (No. 72)
One atom of each set of equivalent atoms:
Ba 0.2421 0.1637 0.0000  5 Cd 3.52-3.82, 2 Zn 3.58, 2 Mg 3.64
Mg 0.0000 0.5000 0.2500  4 Cd 2.97
Zn 0.0000 0.0000 0.2500  4 Cd 2.89
Cd 0.2406 0.0966 0.5000  2 Zn 2.89, 2 Mg 2.97

no.,raw total energy (eV for the cell shown),total magnetization (μB per formula unit)
1,-44.69,0.00
2,-29.41,5.00
3,-39.29,0.00